1.
PBEsol InOsCl2, optimized geometry; distance to the lowest polymorph of the same formula = 50.0 kJ per mole of atoms; raw total energy = -16.9 eV/cell
1.0
2.953 0.000 0.000
0.000 4.430 0.000
0.000 0.000 5.329
Cl Os In
2 1 1
direct
0.000 0.000 0.000
0.500 0.000 0.500
0.000 0.500 0.500
0.500 0.500 0.000



2.
PBEsol CrOs2Se, optimized geometry; raw total energy = -37.3 eV/cell
1.0
-0.870 -1.377 2.346
2.719 -0.512 0.708
0.183 5.663 3.393
Cr Os Se
1 2 1
direct
0.500 0.500 0.725
0.000 0.000 0.994
0.500 0.500 0.257
0.000 0.000 0.525



3.
PBEsol SrBBr2, optimized geometry; distance to the lowest polymorph of the same formula = 12.5 kJ per mole of atoms; raw total energy = -25.3 eV/cell
1.0
5.100 0.000 0.000
0.000 5.100 0.000
-2.550 -2.550 8.935
Sr B Br
2 2 4
direct
0.250 0.750 0.500
0.000 0.000 0.000
0.750 0.250 0.500
0.500 0.500 0.000
0.407 0.875 0.250
0.843 0.375 0.250
0.125 0.157 0.750
0.625 0.593 0.750



4.
PBEsol In2TeBr, optimized geometry; distance to the lowest polymorph of the same formula = 10.2 kJ per mole of atoms; raw total energy = -12.4 eV/cell
1.0
-2.759 -3.326 -0.029
1.470 -1.253 3.865
-3.707 5.874 0.898
Te Br In
1 1 2
direct
0.500 0.500 0.000
0.250 0.750 0.500
0.000 0.000 0.000
0.750 0.250 0.500



5.
PBEsol HoLuHg2, optimized geometry; raw total energy = -13.3 eV/cell
1.0
5.106 0.000 0.000
2.553 4.422 0.000
2.553 1.474 4.169
Lu Hg Ho
1 2 1
direct
0.500 0.500 0.500
0.750 0.750 0.750
0.250 0.250 0.250
0.000 0.000 0.000



6.
PBEsol K2CdHg, optimized geometry; raw total energy = -4.2 eV/cell
1.0
3.992 0.000 0.000
0.000 5.946 -0.405
0.000 -0.505 5.938
K Hg Cd
2 1 1
direct
0.000 0.500 0.000
0.000 0.000 0.500
0.500 0.500 0.500
0.500 0.000 0.000



7.
PBEsol TlCrAg2, optimized geometry; raw total energy = -17.9 eV/cell
1.0
3.426 0.000 0.000
0.000 3.426 0.000
0.000 0.000 6.160
Ag Cr Tl
2 1 1
direct
0.000 0.000 0.018
0.500 0.500 0.252
0.000 0.000 0.485
0.500 0.500 0.745



8.
PBEsol LaScCu2, optimized geometry; distance to the lowest polymorph of the same formula = 0.0 kJ per mole of atoms; raw total energy = -21.3 eV/cell
1.0
3.318 0.000 0.000
0.000 3.318 0.000
0.000 0.000 7.023
Sc Cu La
1 2 1
direct
0.500 0.500 0.500
0.000 0.000 0.699
0.000 0.000 0.301
0.500 0.500 0.000



> Among the records above, which one has the lowest raw total energy?

CrOs2Se